# PuAl3Hg3

A geometry-optimized PuAl3Hg3 structure (PBE, the Alexandria database).

```
PuAl3Hg3
1.0
-4.152 0.014 5.999
5.340 -3.316 3.704
2.734 6.499 1.877
Al Hg Pu
6 6 2
Direct
0.000 0.250 0.500
0.000 0.750 0.500
0.500 0.000 0.750
0.750 0.500 0.000
0.500 0.000 0.250
0.250 0.500 0.000
0.250 0.000 0.500
0.000 0.500 0.250
0.500 0.750 0.000
0.750 0.000 0.500
0.000 0.500 0.750
0.500 0.250 0.000
0.500 0.500 0.500
0.000 0.000 0.000
```

Calculated values
Energy of formation: 0.369 eV/atom
Energy: -3.4116 eV/atom